(1)
# Sm8ZnPt2

A relaxed structure of Sm8ZnPt2 (PBE, the Alexandria database).

The structure belongs to space group Cm (No. 8); the cell edges are 8.668, 13.523 and 5.746 Å and the angles 90.00°, 105.51° and 90.00°. The asymmetric unit holds Sm at (0.000, 0.000, 0.000), Sm at (0.089, 0.374, 0.782), Sm at (0.175, 0.125, 0.605), Sm at (0.259, 0.500, 0.376), Sm at (0.384, 0.237, 0.189), Zn at (0.384, 0.000, 0.118) and Pt at (0.382, 0.303, 0.689).

As for the uncorrected energy: -5.0267 eV per atom. The calculation puts the density of states at the Fermi level at 14.09 states/eV/f.u. The calculation puts the formation enthalpy at 0 K at -380 meV per atom.

---

(2)
# SmZn11Pt

A relaxed structure of SmZn11Pt (PBE, the Alexandria database).

The structure belongs to space group C2/m (No. 12); the cell edges are 5.239, 12.668 and 6.801 Å and the angles 90.00°, 111.93° and 90.00°. The asymmetric unit holds Sm at (0.000, 0.000, 0.000), Zn at (0.000, 0.500, 0.500), Zn at (0.105, 0.390, 0.217), Zn at (0.165, 0.177, 0.354), Zn at (0.250, 0.250, 0.000) and Pt at (0.000, 0.000, 0.500).

As for the uncorrected energy: -2.1851 eV per atom. The calculation puts the density of states at the Fermi level at 3.92 states/eV/f.u. The calculation puts the formation enthalpy at 0 K at -279 meV per atom.